1.
Cd7InHg2, optimized geometry, DFT PBE; excess energy over the best structure of this formula in the dataset = 0 meV/atom; raw total energy = -0.93 eV/atom; calculated volume = 25.54 Å³/atom
1.0
-2.333 2.333 11.726
2.333 -2.333 11.726
2.333 2.333 -11.726
Cd In Hg
7 1 2
Direct
0.000 0.000 0.000
0.094 0.594 0.500
0.250 0.750 0.500
0.406 0.906 0.500
0.594 0.094 0.500
0.750 0.250 0.500
0.906 0.406 0.500
0.500 0.500 0.000
0.172 0.172 0.000
0.828 0.828 0.000

***

2.
CaDy2Ho3Bi6, optimized geometry, DFT PBE; raw total energy = -4.84 eV/atom; calculated volume = 32.06 Å³/atom
1.0
9.795 -2.241 0.000
9.795 2.241 0.000
-2.070 0.000 8.761
Ca Dy Ho Bi
1 2 3 6
Direct
0.000 0.000 0.000
0.334 0.334 0.668
0.666 0.666 0.332
0.000 0.000 0.500
0.335 0.335 0.166
0.665 0.665 0.834
0.167 0.167 0.584
0.169 0.169 0.084
0.500 0.500 0.257
0.500 0.500 0.743
0.831 0.831 0.916
0.833 0.833 0.416

***

3.
ScTaTl4, optimized geometry, DFT PBE; raw total energy = -3.88 eV/atom; calculated volume = 24.93 Å³/atom
1.0
0.000 4.213 4.213
4.213 0.000 4.213
4.213 4.213 0.000
Sc Ta Tl
1 1 4
Direct
0.000 0.000 0.000
0.750 0.750 0.750
0.375 0.375 0.375
0.375 0.375 0.874
0.375 0.874 0.375
0.874 0.375 0.375

***

4.
CaPbS3, optimized geometry, DFT PBE; raw total energy = -3.97 eV/atom; calculated volume = 27.34 Å³/atom; ΔE_f (raw) = -355 meV per atom
1.0
5.151 0.000 0.000
0.000 5.151 0.000
0.000 0.000 5.151
Ca Pb S
1 1 3
Direct
0.000 0.000 0.000
0.500 0.500 0.500
0.000 0.500 0.500
0.500 0.000 0.500
0.500 0.500 0.000

***

5.
La5NdY, optimized geometry, DFT PBE; excess energy over the best structure of this formula in the dataset = 708 meV/atom; raw total energy = -4.29 eV/atom; calculated volume = 46.88 Å³/atom
1.0
6.805 -4.498 0.000
6.805 4.498 0.000
-2.604 0.000 5.361
La Nd Y
5 1 1
Direct
0.000 0.000 0.000
0.248 0.248 0.748
0.321 0.679 0.500
0.679 0.321 0.500
0.752 0.752 0.252
0.000 0.000 0.500
0.500 0.500 0.000

***

6.
LiTl2Cd, optimized geometry, DFT PBE; raw total energy = -1.96 eV/atom; calculated volume = 25.11 Å³/atom
1.0
3.637 0.000 0.000
0.000 4.076 0.000
0.000 0.000 6.775
Li Tl Cd
1 2 1
Direct
0.000 0.000 0.000
0.000 0.000 0.526
0.500 0.500 0.241
0.500 0.500 0.784

***

7.
Fe14IrRh, optimized geometry, DFT PBE; raw total energy = -8.44 eV/atom; calculated volume = 12.13 Å³/atom
1.0
5.785 0.000 0.000
0.000 5.785 0.000
0.000 0.000 5.801
Fe Ir Rh
14 1 1
Direct
0.000 0.000 0.000
0.000 0.500 0.000
0.000 0.500 0.500
0.250 0.250 0.242
0.250 0.250 0.758
0.250 0.750 0.242
0.250 0.750 0.758
0.500 0.000 0.000
0.500 0.000 0.500
0.500 0.500 0.000
0.750 0.250 0.242
0.750 0.250 0.758
0.750 0.750 0.242
0.750 0.750 0.758
0.000 0.000 0.500
0.500 0.500 0.500

***

8.
Nd4HoSb5, optimized geometry, DFT PBE; raw total energy = -5.59 eV/atom; calculated volume = 32.10 Å³/atom; ΔE_f (raw) = -1168 meV per atom
1.0
-2.248 2.248 15.877
2.248 -2.248 15.877
2.248 2.248 -15.877
Nd Ho Sb
4 1 5
Direct
0.099 0.099 0.000
0.301 0.301 0.000
0.699 0.699 0.000
0.901 0.901 0.000
0.500 0.500 0.000
0.000 0.000 0.000
0.200 0.200 0.000
0.402 0.402 0.000
0.598 0.598 0.000
0.800 0.800 0.000

***

9.
La3InCo, optimized geometry, DFT PBE; excess energy over the best structure of this formula in the dataset = 413 meV/atom; raw total energy = -4.80 eV/atom; calculated volume = 33.25 Å³/atom
1.0
-3.533 3.533 6.657
3.533 -3.533 6.657
3.533 3.533 -6.657
La In Co
6 2 2
Direct
0.136 0.136 0.000
0.360 0.615 0.744
0.385 0.129 0.744
0.385 0.640 0.256
0.864 0.864 0.000
0.871 0.615 0.256
0.627 0.127 0.500
0.873 0.373 0.500
0.250 0.750 0.500
0.500 0.500 0.000

***

10.
Zr2BTe2, optimized geometry, DFT PBE; excess energy over the best structure of this formula in the dataset = 275 meV/atom; raw total energy = -5.41 eV/atom; calculated volume = 27.15 Å³/atom; ΔE_f (raw) = 603 meV per atom
1.0
-2.162 2.162 7.263
2.162 -2.162 7.263
2.162 2.162 -7.263
Zr B Te
2 1 2
Direct
0.250 0.750 0.500
0.750 0.250 0.500
0.000 0.000 0.000
0.386 0.386 0.000
0.614 0.614 0.000

***

11.
Al3Cu13, optimized geometry, DFT PBE; raw total energy = -4.15 eV/atom; calculated volume = 12.41 Å³/atom
1.0
7.573 0.000 0.000
0.000 3.564 3.677
0.000 -3.564 3.677
Al Cu
3 13
Direct
0.000 0.000 0.000
0.259 0.279 0.279
0.741 0.279 0.279
0.000 0.024 0.505
0.000 0.505 0.024
0.000 0.523 0.523
0.250 0.766 0.766
0.251 0.267 0.775
0.251 0.775 0.267
0.500 0.017 0.526
0.500 0.021 0.021
0.500 0.522 0.522
0.500 0.526 0.017
0.749 0.267 0.775
0.749 0.775 0.267
0.750 0.766 0.766

***

12.
CrTcSb2, optimized geometry, DFT PBE; excess energy over the best structure of this formula in the dataset = 0 meV/atom; raw total energy = -6.93 eV/atom; calculated volume = 19.65 Å³/atom; ΔE_f (raw) = 127 meV per atom
1.0
3.120 0.000 0.000
0.000 3.120 0.000
0.000 0.000 8.074
Cr Tc Sb
1 1 2
Direct
0.000 0.000 0.000
0.500 0.500 0.834
0.000 0.000 0.610
0.500 0.500 0.214

***

13.
LaTlBPb2, optimized geometry, DFT PBE; raw total energy = -2.75 eV/atom; calculated volume = 46.59 Å³/atom
1.0
6.136 0.000 0.000
0.000 6.136 0.000
0.000 0.000 6.187
La Tl B Pb
1 1 1 2
Direct
0.000 0.000 0.000
0.000 0.000 0.500
0.500 0.500 0.500
0.000 0.500 0.000
0.500 0.000 0.000

***

14.
NiSb2Te, optimized geometry, DFT PBE; raw total energy = -4.13 eV/atom; calculated volume = 23.75 Å³/atom; ΔE_f (raw) = 167 meV per atom
1.0
2.232 -2.261 0.000
2.232 2.261 0.000
0.000 0.000 9.412
Ni Sb Te
1 2 1
Direct
0.000 0.000 0.000
0.000 0.000 0.472
0.500 0.500 0.174
0.500 0.500 0.820

***

15.
CuNi2Ru, optimized geometry, DFT PBE; excess energy over the best structure of this formula in the dataset = 182 meV/atom; raw total energy = -5.97 eV/atom; calculated volume = 12.10 Å³/atom
1.0
0.000 2.893 2.893
2.893 0.000 2.893
2.893 2.893 0.000
Cu Ni Ru
1 2 1
Direct
0.000 0.000 0.000
0.500 0.500 0.500
0.750 0.750 0.750
0.250 0.250 0.250

***

16.
Pa6BS5, optimized geometry, DFT PBE; raw total energy = -8.42 eV/atom; calculated volume = 20.62 Å³/atom; ΔE_f (raw) = -1393 meV per atom
1.0
3.426 -5.789 0.000
3.426 5.789 0.000
-2.181 0.000 6.237
Pa B S
6 1 5
Direct
0.080 0.400 0.741
0.238 0.238 0.258
0.400 0.080 0.741
0.600 0.920 0.259
0.762 0.762 0.742
0.920 0.600 0.259
0.000 0.000 0.500
0.171 0.829 0.000
0.334 0.666 0.500
0.500 0.500 0.000
0.666 0.334 0.500
0.829 0.171 0.000

***

17.
Cs6ScO4, optimized geometry, DFT PBE; raw total energy = -4.34 eV/atom; calculated volume = 39.37 Å³/atom; ΔE_f (raw) = -1492 meV per atom
1.0
12.208 0.000 0.000
-6.104 10.572 0.000
0.000 0.000 6.711
Cs Sc O
12 2 8
Direct
0.119 0.559 0.000
0.158 0.317 0.435
0.158 0.842 0.435
0.317 0.158 0.935
0.441 0.559 0.000
0.441 0.881 0.000
0.559 0.119 0.500
0.559 0.441 0.500
0.683 0.842 0.435
0.842 0.158 0.935
0.842 0.683 0.935
0.881 0.441 0.500
0.333 0.667 0.583
0.667 0.333 0.083
0.246 0.493 0.708
0.246 0.754 0.708
0.333 0.667 0.283
0.493 0.246 0.208
0.507 0.754 0.708
0.667 0.333 0.783
0.754 0.246 0.208
0.754 0.507 0.208

***

18.
Na4SnBi2, optimized geometry, DFT PBE; raw total energy = -2.58 eV/atom; calculated volume = 35.87 Å³/atom
1.0
2.698 1.557 9.961
-2.698 1.557 9.961
0.000 -3.115 9.961
Na Sn Bi
4 1 2
Direct
0.114 0.114 0.114
0.291 0.291 0.291
0.709 0.709 0.709
0.886 0.886 0.886
0.500 0.500 0.500
0.403 0.403 0.403
0.597 0.597 0.597

***

19.
CdPt, optimized geometry, DFT PBE; raw total energy = -3.16 eV/atom; calculated volume = 25.58 Å³/atom
1.0
4.672 0.000 0.000
-2.336 4.046 0.000
0.000 0.000 5.412
Cd Pt
2 2
Direct
0.333 0.667 0.250
0.667 0.333 0.750
0.333 0.667 0.750
0.667 0.333 0.250

***

20.
Tb4AlPt, optimized geometry, DFT PBE; excess energy over the best structure of this formula in the dataset = 0 meV/atom; raw total energy = -5.34 eV/atom; calculated volume = 26.42 Å³/atom
1.0
0.000 6.819 6.819
6.819 0.000 6.819
6.819 6.819 0.000
Tb Al Pt
16 4 4
Direct
0.186 0.186 0.814
0.186 0.814 0.186
0.186 0.814 0.814
0.396 0.396 0.396
0.396 0.396 0.812
0.396 0.812 0.396
0.557 0.557 0.943
0.557 0.943 0.557
0.557 0.943 0.943
0.812 0.396 0.396
0.814 0.186 0.186
0.814 0.186 0.814
0.814 0.814 0.186
0.943 0.557 0.557
0.943 0.557 0.943
0.943 0.943 0.557
0.173 0.173 0.173
0.173 0.173 0.481
0.173 0.481 0.173
0.481 0.173 0.173
0.181 0.606 0.606
0.606 0.181 0.606
0.606 0.606 0.181
0.606 0.606 0.606